! In2FeNi GGA-PBE optimized geometry; values from VASP
&SYSTEM
  ibrav = 0, nat = 4, ntyp = 3
/
ATOMIC_SPECIES
Fe 55.84 Fe.upf
In 114.82 In.upf
Ni 58.69 Ni.upf
CELL_PARAMETERS angstrom
4.470 -0.010 0.000
0.014 4.470 0.000
0.000 0.000 3.196
ATOMIC_POSITIONS crystal
Fe 0.000 0.500 0.500
In 0.000 0.000 0.000
In 0.500 0.500 0.000
Ni 0.500 0.000 0.500
! final energy: -0.177 hartree per atom
! DFT formation energy: 0.116 eV/atom
! space-group type: No. 123